Material: Ce2Ga4Ir5
Method: DFT, PBE-GGA
State: optimized geometry

Computed properties:
**ΔH_f (0 K)**: -0.61 eV per atom
**ρ**: 12.278 g/cm3
**V**: 18.7 Å³/atom
**Total DFT energy (no corrections)**: -6.82 eV per atom
**Total magnetization**: 1.3 μB per cell

Cell: 8.947 8.086 5.556 Å, 79.61 62.74 37.65°
Fractional coordinates of all 11 atoms:
Ce (0.120, 0.120, 0.880)
Ce (0.880, 0.880, 0.120)
Ga (0.213, 0.526, 0.474)
Ga (0.474, 0.787, 0.213)
Ga (0.526, 0.213, 0.787)
Ga (0.787, 0.474, 0.526)
Ir (0.000, 0.000, 0.500)
Ir (0.250, 0.250, 0.250)
Ir (0.500, 0.500, 0.000)
Ir (0.500, 0.500, 0.500)
Ir (0.750, 0.750, 0.750)

Material: Pm7Pr3Sn2
Method: DFT, PBE-GGA
State: optimized geometry

Computed properties:
**ΔH_f (0 K)**: -0.01 eV per atom
**ρ**: 6.603 g/cm3
**V**: 35.1 Å³/atom
**Total DFT energy (no corrections)**: -4.64 eV per atom
**Total magnetization**: 0.0 μB per cell

Cell: 11.201 11.201 11.201 Å, 35.39 35.39 35.39°
Fractional coordinates of all 12 atoms:
Pm (0.000, 0.000, 0.000)
Pm (0.082, 0.082, 0.576)
Pm (0.082, 0.576, 0.082)
Pm (0.424, 0.918, 0.918)
Pm (0.576, 0.082, 0.082)
Pm (0.918, 0.424, 0.918)
Pm (0.918, 0.918, 0.424)
Pr (0.365, 0.365, 0.365)
Pr (0.500, 0.500, 0.500)
Pr (0.635, 0.635, 0.635)
Sn (0.166, 0.166, 0.166)
Sn (0.834, 0.834, 0.834)

Material: LaMg2Pd
Method: DFT, PBE-GGA
State: optimized geometry

Computed properties:
**ΔH_f (0 K)**: -0.39 eV per atom
**ρ**: 5.351 g/cm3
**V**: 22.8 Å³/atom
**Total DFT energy (no corrections)**: -3.71 eV per atom
**Total magnetization**: 0.0 μB per cell

Cell: 3.332 3.332 8.215 Å, 90.00 90.00 90.00°
Fractional coordinates of all 4 atoms:
La (0.000, 0.000, 0.000)
Mg (0.500, 0.500, 0.320)
Mg (0.500, 0.500, 0.680)
Pd (0.000, 0.000, 0.500)

Material: Ag2RhSe
Method: DFT, PBE-GGA
State: optimized geometry

Computed properties:
**ρ**: 9.298 g/cm3
**V**: 17.8 Å³/atom
**Total DFT energy (no corrections)**: -3.83 eV per atom
**Formation energy from raw total energies**: 1.21 eV per formula unit
**Total magnetization**: 0.8 μB per cell

Cell: 9.965 9.965 9.965 Å, 16.67 16.67 16.67°
Fractional coordinates of all 4 atoms:
Ag (0.245, 0.245, 0.245)
Ag (0.755, 0.755, 0.755)
Rh (0.500, 0.500, 0.500)
Se (0.000, 0.000, 0.000)